This record from Alexandria via LeMat-Bulk describes Co2Ir6Ru after structural relaxation. The functional is PBE.

Properties
* distance to the lowest polymorph of the same formula: 0.00 kcal/mol of atoms
* density: 18.2 g/cm³
* DOS(E_F): 11.3 states/eV/f.u.
* crystal system: monoclinic
* E_tot: -8.28 eV/atom

Structure (extended XYZ):
```
9
Lattice="2.301 -6.778 0.000 2.301 6.778 0.000 -2.257 0.000 4.020" Properties=species:S:1:pos:R:3 pbc="T T T"
Co 2.301 4.519 0.000
Co 2.301 -4.519 0.000
Ir -1.136 0.000 3.345
Ir 0.031 2.304 2.721
Ir 2.314 2.304 1.299
Ir 0.031 -2.304 2.721
Ir 2.314 -2.304 1.299
Ir 3.481 0.000 0.675
Ru 1.172 0.000 2.010
```


This record from Alexandria via LeMat-Bulk describes Co2IrRu after structural relaxation. The functional is PBE.

Properties
* density: 9.8 g/cm³
* DOS(E_F): 3.4 states/eV/f.u.
* crystal system: tetragonal
* E_tot: -6.95 eV/atom

Structure (extended XYZ):
```
8
Lattice="-2.601 2.601 5.169 2.601 -2.601 5.169 2.601 2.601 -5.169" Properties=species:S:1:pos:R:3 pbc="T T T"
Co 3.901 1.283 -1.292
Co 1.283 1.300 1.292
Co -1.300 1.318 3.877
Co 1.318 1.300 6.462
Ir 2.601 0.000 2.585
Ir 0.000 0.000 5.169
Ru 0.000 0.000 0.000
Ru 0.000 2.601 2.585
```


This record from Alexandria via LeMat-Bulk describes CoIr2Ru after structural relaxation. The functional is PBE.

Properties
* density: 15.4 g/cm³
* DOS(E_F): 4.3 states/eV/f.u.
* crystal system: trigonal
* E_tot: -8.19 eV/atom

Structure (extended XYZ):
```
4
Lattice="2.054 1.186 4.005 -2.054 1.186 4.005 0.000 -2.372 4.005" Properties=species:S:1:pos:R:3 pbc="T T T"
Co 0.000 0.000 0.000
Ir 0.000 0.000 5.149
Ir 0.000 0.000 7.785
Ru 0.000 0.000 2.573
```


This record from Alexandria via LeMat-Bulk describes CoIr2Ru after structural relaxation. The functional is PBE.

Properties
* density: 16.8 g/cm³
* DOS(E_F): 5.0 states/eV/f.u.
* crystal system: tetragonal
* E_tot: -8.47 eV/atom

Structure (extended XYZ):
```
4
Lattice="3.784 0.000 0.000 0.000 3.784 0.000 0.000 0.000 3.757" Properties=species:S:1:pos:R:3 pbc="T T T"
Co 0.000 0.000 0.000
Ir 0.000 1.892 1.878
Ir 1.892 0.000 1.878
Ru 1.892 1.892 0.000
```


This record from Alexandria via LeMat-Bulk describes Co2IrRu after structural relaxation. The functional is PBE.

Properties
* density: 13.6 g/cm³
* DOS(E_F): 4.8 states/eV/f.u.
* crystal system: monoclinic
* E_tot: -8.02 eV/atom

Structure (extended XYZ):
```
4
Lattice="4.337 -1.324 0.000 4.337 1.324 0.000 -0.819 0.000 4.366" Properties=species:S:1:pos:R:3 pbc="T T T"
Co 0.000 0.000 0.000
Co 6.274 0.000 1.014
Ir 1.554 0.000 3.240
Ru 3.910 0.000 2.119
```


This record from Alexandria via LeMat-Bulk describes CoIrRu4 after structural relaxation. The functional is PBE.

Properties
* distance to the lowest polymorph of the same formula: 0.00 kcal/mol of atoms
* density: 13.4 g/cm³
* DOS(E_F): 5.0 states/eV/f.u.
* crystal system: orthorhombic
* E_tot: -8.83 eV/atom

Structure (extended XYZ):
```
6
Lattice="4.262 0.000 0.000 0.000 1.359 7.011 0.000 -1.359 7.011" Properties=species:S:1:pos:R:3 pbc="T T T"
Co 0.000 0.000 0.000
Ir 2.131 0.000 10.914
Ru 0.000 0.000 4.713
Ru 0.000 0.000 9.311
Ru 2.131 0.000 1.500
Ru 2.131 0.000 6.289
```


This record from Alexandria via LeMat-Bulk describes CoIr2Ru after structural relaxation. The functional is PBE.

Properties
* density: 16.7 g/cm³
* DOS(E_F): 4.6 states/eV/f.u.
* crystal system: orthorhombic
* E_tot: -8.49 eV/atom

Structure (extended XYZ):
```
4
Lattice="2.703 0.000 0.000 0.000 3.757 0.000 0.000 0.000 5.328" Properties=species:S:1:pos:R:3 pbc="T T T"
Co 0.000 0.000 0.000
Ir 0.000 0.000 2.696
Ir 1.351 1.879 1.268
Ru 1.351 1.879 4.033
```


This record from Alexandria via LeMat-Bulk describes CoIr2Ru after structural relaxation. The functional is PBE.

Properties
* density: 16.7 g/cm³
* DOS(E_F): 5.0 states/eV/f.u.
* crystal system: monoclinic
* E_tot: -8.49 eV/atom

Structure (extended XYZ):
```
4
Lattice="4.429 -1.347 0.000 4.429 1.347 0.000 -0.830 0.000 4.539" Properties=species:S:1:pos:R:3 pbc="T T T"
Co 0.000 0.000 0.000
Ir 4.009 0.000 2.294
Ir 6.421 0.000 1.086
Ru 1.602 0.000 3.415
```